Here is an optimized crystal structure of NiSn2HgH from Alexandria via LeMat-Bulk. Energies are from PBE-GGA.

```
NiSn2HgH
1.0
-2.6382 2.1454 4.1554
-4.6702 -0.9617 -2.4686
-0.1479 -2.9503 1.4293
Ni Hg H Sn
1 1 1 2
Cartesian
0.0000 0.0000 0.0000 Ni
-3.7282 -0.8833 1.5580 Hg
-0.0740 -1.4751 0.7146 H
-2.3351 -0.4809 -1.2343 Sn
-1.3191 1.0727 2.0777 Sn
```

Properties
- E_tot (eV per atom) = -3.365
- density of states at the Fermi level (states/eV/atom) = 0.515
- density (Mg/m³) = 8.736

=====

Here is an optimized crystal structure of Pm3TmIr2 from Alexandria via LeMat-Bulk. Energies are from PBE-GGA.

```
Pm3TmIr2
1.0
-5.7302 -3.7050 0.7562
1.5296 -0.9378 6.9956
-1.3959 8.0413 -2.3446
Pm Tm Ir
6 2 4
Cartesian
-2.4827 -2.0870 2.1270 Pm
-1.7180 -2.5559 5.6248 Pm
-5.1126 1.4333 -0.5539 Pm
-1.2488 2.4341 2.4633 Pm
-0.4840 1.9652 5.9611 Pm
-4.3479 0.9644 2.9439 Pm
0.7648 -0.4689 3.4978 Tm
0.0000 0.0000 0.0000 Tm
-3.7876 3.3569 1.2782 Ir
-5.0619 -1.0982 0.9595 Ir
-0.5347 4.4967 4.4476 Ir
-1.8090 0.0416 4.1290 Ir
```

Properties
- offset from the most stable computed form (kJ/mol of formula units) = 0.0
- density of states at the Fermi level (states/eV/atom) = 0.858
- formation energy from the elements (eV per atom) = -0.57
- density (Mg/m³) = 9.627

=====

Here is an optimized crystal structure of SmReS from Alexandria via LeMat-Bulk. Energies are from PBE-GGA.

```
SmReS
1.0
-3.2842 1.6409 0.0201
-1.5481 -3.1130 1.1798
1.4135 2.7182 9.0272
Re S Sm
2 2 2
Cartesian
0.0000 0.0000 0.0000 Re
-2.4162 -0.7360 0.5999 Re
0.0942 0.1133 6.1351 S
-1.0969 1.8689 3.4920 S
-0.3636 -0.7672 3.2112 Sm
-0.6391 2.7493 6.4159 Sm
```

Properties
- E_tot (eV per atom) = -7.860
- density of states at the Fermi level (states/eV/atom) = 0.523
- density (Mg/m³) = 9.528

=====

Here is an optimized crystal structure of CsAsPBr2 from Alexandria via LeMat-Bulk. Energies are from PBE-GGA.

```
CsAsPBr2
1.0
-4.5090 -3.6452 0.8690
2.0320 -3.5206 -4.2249
2.4940 -2.3352 3.1454
Cs P As Br
1 1 1 2
Cartesian
0.0085 -4.7505 -0.1053 Cs
0.0000 0.0000 0.0000 P
1.2470 -1.1676 1.5727 As
1.0160 -1.7603 -2.1125 Br
-2.2545 -1.8226 0.4345 Br
```

Properties
- offset from the most stable computed form (kJ/mol of formula units) = 0.0
- density of states at the Fermi level (states/eV/atom) = 0.716
- density (Mg/m³) = 4.146